[1]
## Pu2Ga3Ir (PBE-GGA)

Data for a geometry-optimized Pu2Ga3Ir structure.

POSCAR file:
```
Pu2Ga3Ir
1.0
-3.453 -1.667 -3.929
4.686 2.523 -1.350
2.747 -3.548 2.919
Pu Ga Ir
2 3 1
Direct
0.757 0.378 0.135
0.243 0.622 0.865
0.500 0.500 0.500
0.000 0.000 0.500
0.500 0.000 0.500
0.000 0.000 0.000
```

Summary:
Size of the total moment, μB/atom: 1.7836
Fermi-level density of states, states/eV/cell: 13.22
Energy of formation from the pure elements, eV per atom: -0.477


[2]
## Pu4GaIr2 (PBE-GGA)

Data for a geometry-optimized Pu4GaIr2 structure.

POSCAR file:
```
Pu4GaIr2
1.0
-0.053 4.371 -2.136
-0.054 0.335 -4.853
-6.958 1.520 -2.257
Pu Ga Ir
4 1 2
Direct
0.426 0.426 0.723
0.267 0.267 0.200
0.733 0.733 0.800
0.574 0.574 0.277
0.000 0.000 0.000
0.132 0.132 0.605
0.868 0.868 0.395
```

Summary:
Size of the total moment, μB/atom: 2.8104
Fermi-level density of states, states/eV/cell: 20.96
Energy of formation from the pure elements, eV per atom: -0.259


> Number 1 is which compound?

Pu2Ga3Ir


> The lowest energy of formation from the pure elements belongs to which entry?

Pu2Ga3Ir


> Among the records above, which one has the highest Fermi-level density of states?

Pu4GaIr2


> Which of these has the highest Fermi-level density of states?

Pu4GaIr2